# 1
DFT (PBE) results for a relaxed structure of Pm8Ir2Os.

a b c (Å): 6.289 7.667 7.667
angles (deg): 113.13 101.18 101.18
Fractional coordinates of all 11 atoms:
Pm 0.585 0.345 0.083
Pm 0.585 0.083 0.345
Pm 0.177 0.355 0.355
Pm 0.990 0.206 0.791
Pm 0.990 0.791 0.206
Pm 0.800 0.650 0.650
Pm 0.372 0.924 0.664
Pm 0.372 0.664 0.924
Ir 0.484 0.693 0.319
Ir 0.484 0.319 0.693
Os 0.161 0.003 0.003

Results
Its volume is 28.93 A^3/atom. Its density of states at the Fermi level is 10.4 states/eV/cell. The formation energy is -0.263 eV per atom.

---

# 2
DFT (PBE) results for a relaxed structure of Pm8IrOs2.

a b c (Å): 4.839 7.101 9.352
angles (deg): 105.03 104.99 90.00
Fractional coordinates of all 11 atoms:
Pm 0.402 0.536 0.803
Pm 0.668 0.967 0.335
Pm 0.793 0.684 0.586
Pm 0.972 0.212 0.944
Pm 0.207 0.316 0.414
Pm 0.332 0.033 0.665
Pm 0.598 0.464 0.197
Pm 0.028 0.788 0.056
Ir 0.500 0.000 0.000
Os 0.815 0.296 0.629
Os 0.185 0.704 0.371

Results
Its volume is 27.19 A^3/atom. Its density of states at the Fermi level is 10.8 states/eV/cell. The formation energy is -0.191 eV per atom.

---

# 3
DFT (PBE) results for a relaxed structure of Pm4IrOs.

a b c (Å): 6.410 7.721 8.071
angles (deg): 114.18 108.32 99.96
Fractional coordinates of all 12 atoms:
Pm 0.006 0.240 0.871
Pm 0.791 0.695 0.649
Pm 0.364 0.631 0.871
Pm 0.358 0.955 0.649
Pm 0.642 0.045 0.351
Pm 0.636 0.369 0.129
Pm 0.209 0.305 0.351
Pm 0.994 0.760 0.129
Ir 0.386 0.636 0.271
Ir 0.614 0.364 0.729
Os 0.252 0.002 0.004
Os 0.748 0.998 0.996

Results
Its volume is 27.02 A^3/atom. Its density of states at the Fermi level is 10.0 states/eV/cell. The formation energy is -0.356 eV per atom.

---

The lowest volume belongs to which entry?
Pm4IrOs

---

The highest volume belongs to which entry?
Pm8Ir2Os

---

Please write out number 1 again, unchanged.
DFT (PBE) results for a relaxed structure of Pm8Ir2Os.

a b c (Å): 6.289 7.667 7.667
angles (deg): 113.13 101.18 101.18
Fractional coordinates of all 11 atoms:
Pm 0.585 0.345 0.083
Pm 0.585 0.083 0.345
Pm 0.177 0.355 0.355
Pm 0.990 0.206 0.791
Pm 0.990 0.791 0.206
Pm 0.800 0.650 0.650
Pm 0.372 0.924 0.664
Pm 0.372 0.664 0.924
Ir 0.484 0.693 0.319
Ir 0.484 0.319 0.693
Os 0.161 0.003 0.003

Results
Its volume is 28.93 A^3/atom. Its density of states at the Fermi level is 10.4 states/eV/cell. The formation energy is -0.263 eV per atom.